# 1
First-principles (PBE-GGA) data for crystalline CuNi4Pd4 at its relaxed geometry, as listed in the Alexandria database.

Cell: 6.169 7.437 2.705 Å, 79.29 90.04 81.21°
Element x y z (fractional)
Cu 0.000 0.000 0.000
Ni 0.581 0.608 0.194
Ni 0.419 0.392 0.806
Ni 0.201 0.217 0.395
Ni 0.799 0.783 0.605
Pd 0.869 0.384 0.809
Pd 0.131 0.616 0.191
Pd 0.361 0.872 0.559
Pd 0.639 0.128 0.441

Properties
The calculation puts the size of the total moment at 3.63 μB/f.u. For the total energy, the calculation gives -5.2428 eV per atom.

---

# 2
First-principles (PBE-GGA) data for crystalline Cu8Ni2Pd at its relaxed geometry, as listed in the Alexandria database.

Cell: 4.387 6.633 7.152 Å, 62.37 72.22 48.83°
Element x y z (fractional)
Cu 0.762 0.100 0.275
Cu 0.762 0.376 0.725
Cu 0.246 0.501 0.000
Cu 0.500 0.800 0.399
Cu 0.500 0.200 0.601
Cu 0.754 0.499 0.000
Cu 0.238 0.624 0.275
Cu 0.238 0.900 0.725
Ni 0.000 0.318 0.364
Ni 0.000 0.682 0.636
Pd 0.500 0.000 0.000

Properties
The calculation puts the size of the total moment at 0.00 μB/f.u. For the total energy, the calculation gives -4.3619 eV per atom.

---

# 3
First-principles (PBE-GGA) data for crystalline Cu8Ni2Pd at its relaxed geometry, as listed in the Alexandria database.

Cell: 3.916 6.099 6.099 Å, 104.81 90.00 90.00°
Element x y z (fractional)
Cu 0.500 0.291 0.035
Cu 0.500 0.035 0.291
Cu 0.000 0.329 0.329
Cu 0.000 0.315 0.803
Cu 0.000 0.803 0.315
Cu 0.000 0.652 0.652
Cu 0.500 0.966 0.678
Cu 0.500 0.678 0.966
Ni 0.500 0.610 0.369
Ni 0.500 0.369 0.610
Pd 0.000 0.985 0.986

Properties
The calculation puts the size of the total moment at 0.00 μB/f.u. For the total energy, the calculation gives -4.3874 eV per atom.

---

# 4
First-principles (PBE-GGA) data for crystalline Cu2NiPd7 at its relaxed geometry, as listed in the Alexandria database.

Cell: 4.065 7.243 7.243 Å, 120.28 90.00 90.00°
Element x y z (fractional)
Cu 0.500 0.696 0.304
Cu 0.500 0.304 0.696
Ni 0.000 0.000 0.000
Pd 0.000 0.801 0.199
Pd 0.000 0.199 0.801
Pd 0.500 0.078 0.295
Pd 0.500 0.922 0.705
Pd 0.500 0.295 0.078
Pd 0.500 0.705 0.922
Pd 0.500 0.500 0.500

Properties
The calculation puts the size of the total moment at 2.07 μB/f.u. For the total energy, the calculation gives -4.5065 eV per atom.

---

# 5
First-principles (PBE-GGA) data for crystalline Cu5Ni2Pd4 at its relaxed geometry, as listed in the Alexandria database.

Cell: 2.664 6.699 8.353 Å, 88.07 99.17 90.00°
Element x y z (fractional)
Cu 0.815 0.451 0.630
Cu 0.185 0.549 0.370
Cu 0.874 0.098 0.748
Cu 0.500 0.000 0.000
Cu 0.126 0.902 0.252
Ni 0.443 0.372 0.885
Ni 0.557 0.628 0.115
Pd 0.236 0.180 0.473
Pd 0.926 0.717 0.852
Pd 0.764 0.820 0.527
Pd 0.074 0.283 0.148

Properties
The calculation puts the size of the total moment at 1.11 μB/f.u. For the total energy, the calculation gives -4.7764 eV per atom.

---

# 6
First-principles (PBE-GGA) data for crystalline Cu2Ni3Pd8 at its relaxed geometry, as listed in the Alexandria database.

Cell: 3.956 8.108 7.455 Å, 122.89 90.00 90.00°
Element x y z (fractional)
Cu 0.500 0.257 0.513
Cu 0.500 0.743 0.487
Ni 0.500 0.000 0.000
Ni 0.000 0.232 0.000
Ni 0.000 0.768 0.000
Pd 0.000 0.612 0.223
Pd 0.000 0.388 0.777
Pd 0.000 0.137 0.274
Pd 0.000 0.863 0.726
Pd 0.500 0.621 0.745
Pd 0.500 0.123 0.743
Pd 0.500 0.877 0.257
Pd 0.500 0.379 0.255

Properties
The calculation puts the size of the total moment at 4.83 μB/f.u. For the total energy, the calculation gives -4.9575 eV per atom.

---

Number 1: theoretical density 10.0 g/cm3, energy of formation 78.0 kJ/mol of formula units. Number 2: theoretical density 8.8 g/cm3, energy of formation 149.0 kJ/mol of formula units. Number 3: theoretical density 8.6 g/cm3, energy of formation 121.9 kJ/mol of formula units. Number 4: theoretical density 8.4 g/cm3, energy of formation 507.3 kJ/mol of formula units. Number 5: theoretical density 9.7 g/cm3, energy of formation 26.5 kJ/mol of formula units. Number 6: theoretical density 9.5 g/cm3, energy of formation 253.9 kJ/mol of formula units.